Record 1
# Ho2ErNi GGA-PBE relaxed
# E_tot: -5.14 eV/atom
# N(E_F): 16.8 states/eV/cell
data_Ho2ErNi
_symmetry_space_group_name_H-M 'P n m a'
_symmetry_Int_Tables_number 62
_cell_length_a 6.7959
_cell_length_b 9.5030
_cell_length_c 6.2765
_cell_angle_alpha 90.00
_cell_angle_beta 90.00
_cell_angle_gamma 90.00
loop_
_symmetry_equiv_pos_as_xyz
'x,y,z'
'-x,-y,-z'
'-x+1/2,-y,z+1/2'
'x+1/2,y,-z+1/2'
'x+1/2,-y+1/2,-z+1/2'
'-x+1/2,y+1/2,z+1/2'
'-x,y+1/2,-z'
'x,-y+1/2,z'
loop_
_atom_site_label
_atom_site_fract_x
_atom_site_fract_y
_atom_site_fract_z
_atom_site_occupancy
Ho1 0.1794 0.0656 0.1785 1
Er1 0.0336 0.2500 0.6392 1
Ni1 0.1086 0.7500 0.9485 1

Record 2
# Nb3SbW GGA-PBE relaxed
# Formation energy without anion corrections: 1.97 eV per atom
# N(E_F): 7.6 states/eV/cell
data_Nb3SbW
_symmetry_space_group_name_H-M 'P m -3 m'
_symmetry_Int_Tables_number 221
_symmetry_space_group_name_Hall '-P 4 2 3'
_cell_length_a 4.9194
_cell_length_b 4.9194
_cell_length_c 4.9194
_cell_angle_alpha 90.00
_cell_angle_beta 90.00
_cell_angle_gamma 90.00
loop_
_atom_site_label
_atom_site_fract_x
_atom_site_fract_y
_atom_site_fract_z
_atom_site_occupancy
Nb1 0.0000 0.0000 0.5000 1
Sb1 0.0000 0.0000 0.0000 1
W1 0.5000 0.5000 0.5000 1

Record 3
# Zr3BiPb GGA-PBE relaxed
# E_tot: -5.78 eV/atom
# N(E_F): 9.9 states/eV/cell
data_Zr3BiPb
_symmetry_space_group_name_H-M 'P m -3 m'
_symmetry_Int_Tables_number 221
_symmetry_space_group_name_Hall '-P 4 2 3'
_cell_length_a 5.4176
_cell_length_b 5.4176
_cell_length_c 5.4176
_cell_angle_alpha 90.00
_cell_angle_beta 90.00
_cell_angle_gamma 90.00
loop_
_atom_site_label
_atom_site_fract_x
_atom_site_fract_y
_atom_site_fract_z
_atom_site_occupancy
Zr1 0.0000 0.0000 0.5000 1
Bi1 0.0000 0.0000 0.0000 1
Pb1 0.5000 0.5000 0.5000 1

Record 4
# SmTlCdI6 GGA-PBE relaxed
# Formation energy without anion corrections: -0.95 eV per atom
# N(E_F): 0.0 states/eV/cell
data_SmTlCdI6
_symmetry_space_group_name_H-M 'P -3 1 c'
_symmetry_Int_Tables_number 163
_symmetry_space_group_name_Hall '-P 3 2c'
_cell_length_a 7.8763
_cell_length_b 7.8763
_cell_length_c 15.3517
_cell_angle_alpha 90.00
_cell_angle_beta 90.00
_cell_angle_gamma 120.00
loop_
_atom_site_label
_atom_site_fract_x
_atom_site_fract_y
_atom_site_fract_z
_atom_site_occupancy
Sm1 0.3333 0.6667 0.2500 1
Tl1 0.0000 0.0000 0.0000 1
Cd1 0.3333 0.6667 0.7500 1
I1 0.0065 0.3689 0.6345 1

Record 5
# CsKVS4 GGA-PBE relaxed
# Formation energy without anion corrections: -0.95 eV per atom
# N(E_F): 2.7 states/eV/cell
data_CsKVS4
_symmetry_space_group_name_H-M 'P 1 21/m 1'
_symmetry_Int_Tables_number 11
_cell_length_a 7.4239
_cell_length_b 5.4802
_cell_length_c 11.9765
_cell_angle_alpha 90.00
_cell_angle_beta 96.54
_cell_angle_gamma 90.00
loop_
_symmetry_equiv_pos_as_xyz
'x,y,z'
'-x,-y,-z'
'-x,y+1/2,-z'
'x,-y+1/2,z'
loop_
_atom_site_label
_atom_site_fract_x
_atom_site_fract_y
_atom_site_fract_z
_atom_site_occupancy
Cs1 0.2472 0.2500 0.4825 1
K1 0.2223 0.2500 0.9043 1
V1 0.3026 0.7500 0.2209 1
S1 0.0800 0.7500 0.3210 1
S2 0.2181 0.7500 0.0456 1
S3 0.4902 0.5275 0.7273 1

Record 6
# AcHoRh2 GGA-PBE relaxed
# E_tot: -6.49 eV/atom
# N(E_F): 16.3 states/eV/cell
data_AcHoRh2
_symmetry_space_group_name_H-M 'F m -3 m'
_symmetry_Int_Tables_number 225
_symmetry_space_group_name_Hall '-F 4 2 3'
_cell_length_a 7.1367
_cell_length_b 7.1367
_cell_length_c 7.1367
_cell_angle_alpha 90.00
_cell_angle_beta 90.00
_cell_angle_gamma 90.00
loop_
_atom_site_label
_atom_site_fract_x
_atom_site_fract_y
_atom_site_fract_z
_atom_site_occupancy
Ac1 0.0000 0.0000 0.0000 1
Ho1 0.0000 0.0000 0.5000 1
Rh1 0.2500 0.2500 0.2500 1

Record 7
# NaSr2CdH GGA-PBE relaxed
# E_tot: -2.02 eV/atom
# N(E_F): 3.2 states/eV/cell
data_NaSr2CdH
_symmetry_space_group_name_H-M 'P 4/m m m'
_symmetry_Int_Tables_number 123
_symmetry_space_group_name_Hall '-P 4 2'
_cell_length_a 5.5014
_cell_length_b 5.5014
_cell_length_c 4.6609
_cell_angle_alpha 90.00
_cell_angle_beta 90.00
_cell_angle_gamma 90.00
loop_
_atom_site_label
_atom_site_fract_x
_atom_site_fract_y
_atom_site_fract_z
_atom_site_occupancy
Na1 0.0000 0.0000 0.0000 1
Sr1 0.0000 0.5000 0.5000 1
Cd1 0.5000 0.5000 0.0000 1
H1 0.0000 0.0000 0.5000 1

Record 8
# TmZrInPd GGA-PBE relaxed
# E_tot: -5.67 eV/atom
# N(E_F): 17.5 states/eV/cell
data_TmZrInPd
_symmetry_space_group_name_H-M 'F -4 3 m'
_symmetry_Int_Tables_number 216
_symmetry_space_group_name_Hall 'F -4 2 3'
_cell_length_a 7.0600
_cell_length_b 7.0600
_cell_length_c 7.0600
_cell_angle_alpha 90.00
_cell_angle_beta 90.00
_cell_angle_gamma 90.00
loop_
_atom_site_label
_atom_site_fract_x
_atom_site_fract_y
_atom_site_fract_z
_atom_site_occupancy
Tm1 0.0000 0.0000 0.0000 1
Zr1 0.0000 0.0000 0.5000 1
In1 0.2500 0.2500 0.7500 1
Pd1 0.2500 0.2500 0.2500 1

Record 9
# SnTe4Pb3 GGA-PBE relaxed
# Formation energy without anion corrections: -0.28 eV per atom
data_SnTe4Pb3
_symmetry_space_group_name_H-M 'P m n 21'
_symmetry_Int_Tables_number 31
_cell_length_a 9.8116
_cell_length_b 10.4700
_cell_length_c 6.5745
_cell_angle_alpha 90.00
_cell_angle_beta 90.00
_cell_angle_gamma 90.00
loop_
_symmetry_equiv_pos_as_xyz
'x,y,z'
'-x+1/2,-y,z+1/2'
'-x,y,z'
'x+1/2,-y,z+1/2'
loop_
_atom_site_label
_atom_site_fract_x
_atom_site_fract_y
_atom_site_fract_z
_atom_site_occupancy
Sn1 0.0000 0.1558 0.0000 1
Te1 0.0000 0.1324 0.4697 1
Te2 0.0000 0.8288 0.9797 1
Te3 0.2293 0.3462 0.9792 1
Pb1 0.0000 0.8224 0.4884 1
Pb2 0.2404 0.3364 0.4898 1

Record 10
# Pr6SnHg5 GGA-PBE relaxed
# E_tot: -3.37 eV/atom
# N(E_F): 25.8 states/eV/cell
data_Pr6SnHg5
_symmetry_space_group_name_H-M 'C 1 2/m 1'
_symmetry_Int_Tables_number 12
_cell_length_a 17.3355
_cell_length_b 7.7526
_cell_length_c 5.4667
_cell_angle_alpha 90.00
_cell_angle_beta 108.29
_cell_angle_gamma 90.00
loop_
_symmetry_equiv_pos_as_xyz
'x,y,z'
'-x,-y,-z'
'-x,y,-z'
'x,-y,z'
'x+1/2,y+1/2,z'
'-x+1/2,-y+1/2,-z'
'-x+1/2,y+1/2,-z'
'x+1/2,-y+1/2,z'
loop_
_atom_site_label
_atom_site_fract_x
_atom_site_fract_y
_atom_site_fract_z
_atom_site_occupancy
Pr1 0.0000 0.2486 0.0000 1
Pr2 0.1662 0.2492 0.6662 1
Sn1 0.0000 0.0000 0.5000 1
Hg1 0.0000 0.5000 0.5000 1
Hg2 0.1664 0.5000 0.1663 1
Hg3 0.1720 0.0000 0.1720 1

Record 11
# Tl4SeF2 GGA-PBE relaxed
# Formation energy without anion corrections: -1.11 eV per atom
data_Tl4SeF2
_symmetry_space_group_name_H-M 'I -4 2 d'
_symmetry_Int_Tables_number 122
_symmetry_space_group_name_Hall 'I -4 2bw'
_cell_length_a 10.0506
_cell_length_b 10.0506
_cell_length_c 7.4644
_cell_angle_alpha 90.00
_cell_angle_beta 90.00
_cell_angle_gamma 90.00
loop_
_atom_site_label
_atom_site_fract_x
_atom_site_fract_y
_atom_site_fract_z
_atom_site_occupancy
Tl1 0.0548 0.7135 0.3877 1
Se1 0.0000 0.0000 0.5000 1
F1 0.2472 0.7500 0.6250 1

Record 12
# CrCd2W GGA-PBE relaxed
# E_tot: -5.31 eV/atom
# N(E_F): 1.8 states/eV/cell
data_CrCd2W
_symmetry_space_group_name_H-M 'P 4/m m m'
_symmetry_Int_Tables_number 123
_symmetry_space_group_name_Hall '-P 4 2'
_cell_length_a 4.9659
_cell_length_b 4.9659
_cell_length_c 2.9599
_cell_angle_alpha 90.00
_cell_angle_beta 90.00
_cell_angle_gamma 90.00
loop_
_atom_site_label
_atom_site_fract_x
_atom_site_fract_y
_atom_site_fract_z
_atom_site_occupancy
Cr1 0.0000 0.0000 0.0000 1
Cd1 0.0000 0.5000 0.5000 1
W1 0.5000 0.5000 0.0000 1